<one>
A plane-wave DFT calculation with PBE was carried out for In5Sn2Hg after structural relaxation.

It has space group Pbam (No. 55), with a = 7.049 Å, b = 14.097 Å, c = 4.317 Å, α = 90.00°, β = 90.00° and γ = 90.00°. The inequivalent atoms are In at (0.000, 0.000, 0.000), In at (0.007, 0.247, 0.000), In at (0.237, 0.622, 0.500), Sn at (0.249, 0.375, 0.500) and Hg at (0.000, 0.500, 0.000).

<two>
A plane-wave DFT calculation with PBE was carried out for In5Sn2Hg after structural relaxation.

It has space group Cm (No. 8), with a = 11.575 Å, b = 6.758 Å, c = 6.760 Å, α = 90.00°, β = 125.36° and γ = 90.00°. The inequivalent atoms are In at (0.000, 0.000, 0.000), In at (0.250, 0.250, 0.000), In at (0.251, 0.250, 0.500), Sn at (0.000, 0.000, 0.500), Sn at (0.000, 0.500, 0.001) and Hg at (0.001, 0.500, 0.501).

What are the relative energies? In eV/atom: <one> 0.000; <two> 0.012.